Computed, not measured: a relaxed Ba6As2PdBr3 crystal at the PBE-GGA level of DFT.

Summary:
Total energy, eV/atom: -4.014
Space group: No. 12
M_tot, μB/f.u.: 0.00
DOS(E_F), states/eV/f.u.: 4.19
Raw formation energy, eV per atom: -1.4267

a = 10.761 Å, b = 10.761 Å, c = 9.822 Å
α = 104.67°, β = 104.67°, γ = 25.48°
Atoms (fractional coordinates):
Ba 0.006 0.006 0.234
Ba 0.326 0.326 0.432
Ba 0.344 0.344 0.897
Ba 0.656 0.656 0.103
Ba 0.674 0.674 0.568
Ba 0.994 0.994 0.766
As 0.165 0.165 0.335
As 0.835 0.835 0.665
Pd 0.500 0.500 0.000
Br 0.170 0.170 0.836
Br 0.500 0.500 0.500
Br 0.830 0.830 0.164

---

Computed, not measured: a relaxed BaAsPdBr2 crystal at the PBE-GGA level of DFT.

Summary:
Total energy, eV/atom: -3.802
Space group: No. 123
M_tot, μB/f.u.: 0.00
DOS(E_F), states/eV/f.u.: 3.87
Energy above the most stable polymorph in this dataset, eV per formula unit: 0.00
Raw formation energy, eV per atom: -0.7795

a = 5.341 Å, b = 5.341 Å, c = 4.970 Å
α = 90.00°, β = 90.00°, γ = 90.00°
Atoms (fractional coordinates):
Ba 0.000 0.000 0.000
As 0.500 0.500 0.000
Pd 0.500 0.500 0.500
Br 0.000 0.500 0.500
Br 0.500 0.000 0.500

---

Computed, not measured: a relaxed Ba8AsPd3Br4 crystal at the PBE-GGA level of DFT.

Summary:
Total energy, eV/atom: -3.865
Space group: No. 166
M_tot, μB/f.u.: 0.32
DOS(E_F), states/eV/f.u.: 9.39
Raw formation energy, eV per atom: -1.2208

a = 9.847 Å, b = 9.847 Å, c = 9.847 Å
α = 56.71°, β = 56.71°, γ = 56.71°
Atoms (fractional coordinates):
Ba 0.234 0.739 0.739
Ba 0.242 0.242 0.242
Ba 0.261 0.261 0.766
Ba 0.261 0.766 0.261
Ba 0.739 0.234 0.739
Ba 0.739 0.739 0.234
Ba 0.758 0.758 0.758
Ba 0.766 0.261 0.261
As 0.500 0.500 0.500
Pd 0.000 0.000 0.500
Pd 0.000 0.500 0.000
Pd 0.500 0.000 0.000
Br 0.000 0.000 0.000
Br 0.000 0.500 0.500
Br 0.500 0.000 0.500
Br 0.500 0.500 0.000